[1]
Entry from Alexandria: Rb8Cl3OF3 after structural relaxation (GGA-PBE).

Lattice parameters (Å, degrees): 9.0083 9.0083 9.0083 56.57 56.57 56.57
Closest atoms and distances in Å follow each position.
Positions (direct):
Rb: 0.2376 0.2376 0.2376  3 F 2.94, 3 Cl 3.28
Rb: 0.2549 0.7220 0.7220  1 O 2.75, 2 F 2.96
Rb: 0.2780 0.2780 0.7451  1 O 2.75, 2 F 2.96
Rb: 0.2780 0.7451 0.2780  1 O 2.75, 2 F 2.96
Rb: 0.7220 0.2549 0.7220  1 O 2.75, 2 F 2.96
Rb: 0.7220 0.7220 0.2549  1 O 2.75, 2 F 2.96
Rb: 0.7451 0.2780 0.2780  1 O 2.75, 2 F 2.96
Rb: 0.7624 0.7624 0.7624  3 F 2.94, 3 Cl 3.28
Cl: 0.0000 0.5000 0.5000  6 Rb 3.28-3.29
Cl: 0.5000 0.0000 0.5000  6 Rb 3.28-3.29
Cl: 0.5000 0.5000 0.0000  6 Rb 3.28-3.29
O: 0.5000 0.5000 0.5000  6 Rb 2.75
F: 0.0000 0.0000 0.5000  6 Rb 2.94-2.96
F: 0.0000 0.5000 0.0000  6 Rb 2.94-2.96
F: 0.5000 0.0000 0.0000  6 Rb 2.94-2.96

Properties
As for the uncorrected formation energy: -2914 kJ/mol of formula units. For the electronic total energy, the calculation gives -3.60 eV per atom.


[2]
Entry from Alexandria: Sr2ClOF after structural relaxation (GGA-PBE).

Lattice parameters (Å, degrees): 7.3528 7.3528 10.1725 127.62 127.62 32.81
Closest atoms and distances in Å follow each position.
Positions (direct):
Sr: 0.0699 0.0699 0.3181  1 O 2.28, 2 F 2.45
Sr: 0.3177 0.3177 0.9341  3 O 2.43-2.44, 1 F 2.59
Sr: 0.6823 0.6823 0.0659  3 O 2.43-2.44, 1 F 2.59
Sr: 0.9301 0.9301 0.6819  1 O 2.28, 2 F 2.45
Cl: 0.3242 0.3242 0.3980  5 Sr 3.06-3.34, 1 F 3.43
Cl: 0.6758 0.6758 0.6020  5 Sr 3.06-3.34, 1 F 3.43
O: 0.1344 0.1344 0.9106  4 Sr 2.28-2.44
O: 0.8656 0.8656 0.0894  4 Sr 2.28-2.44
F: 0.4295 0.4295 0.8084  3 Sr 2.45-2.59
F: 0.5705 0.5705 0.1916  3 Sr 2.45-2.59

Properties
The calculation puts the density of states at the Fermi level at 0.00 states/eV/atom. As for the uncorrected formation energy: -1449 kJ/mol of formula units. For the electronic total energy, the calculation gives -5.41 eV per atom.


[3]
Entry from Alexandria: TeCl2OF after structural relaxation (GGA-PBE).

Lattice parameters (Å, degrees): 5.3897 5.3897 4.0558 90.00 90.00 90.00
Closest atoms and distances in Å follow each position.
Positions (direct):
Te: 0.0000 0.0000 0.0000  2 F 2.03
Cl: 0.0000 0.5000 0.5000  2 F 2.69
Cl: 0.5000 0.0000 0.5000  2 F 2.69
O: 0.5000 0.5000 0.0000  8 Cl 3.37
F: 0.0000 0.0000 0.5000  2 Te 2.03

Properties
The calculation puts the density of states at the Fermi level at 1.48 states/eV/atom. As for the uncorrected formation energy: 236 kJ/mol of formula units. For the electronic total energy, the calculation gives -2.24 eV per atom. The distance to the lowest polymorph of the same formula is 210 meV per atom.


[4]
Entry from Alexandria: TeCl2OF after structural relaxation (GGA-PBE).

Lattice parameters (Å, degrees): 4.4781 4.4781 4.5185 90.00 90.00 90.00
Closest atoms and distances in Å follow each position.
Positions (direct):
Te: 0.0000 0.0000 0.0000  2 O 2.26
Cl: 0.0000 0.5000 0.5000  2 O 2.24
Cl: 0.5000 0.0000 0.5000  2 O 2.24
O: 0.0000 0.0000 0.5000  4 Cl 2.24, 2 Te 2.26
F: 0.5000 0.5000 0.0000  4 Te 3.17, 8 Cl 3.18

Properties
The calculation puts the density of states at the Fermi level at 0.75 states/eV/atom. As for the uncorrected formation energy: 135 kJ/mol of formula units. For the electronic total energy, the calculation gives -2.45 eV per atom. The distance to the lowest polymorph of the same formula is 0 meV per atom.


[5]
Entry from Alexandria: Ti2ClOF after structural relaxation (GGA-PBE).

Lattice parameters (Å, degrees): 4.4596 4.4596 4.2764 90.00 90.00 90.00
Closest atoms and distances in Å follow each position.
Positions (direct):
Ti: 0.0000 0.5000 0.0000  2 Cl 2.23
Ti: 0.5000 0.0000 0.0000  2 Cl 2.23
Cl: 0.0000 0.0000 0.0000  2 F 2.14, 4 Ti 2.23
O: 0.5000 0.5000 0.5000  8 Ti 3.09, 4 F 3.15
F: 0.0000 0.0000 0.5000  2 Cl 2.14

Properties
The calculation puts the density of states at the Fermi level at 0.97 states/eV/atom. As for the uncorrected formation energy: -18 kJ/mol of formula units. For the electronic total energy, the calculation gives -4.93 eV per atom.


[6]
Entry from Alexandria: Tl6ClO2F after structural relaxation (GGA-PBE).

Lattice parameters (Å, degrees): 9.8510 9.8510 6.6236 107.65 107.65 86.32
Closest atoms and distances in Å follow each position.
Positions (direct):
Tl: 0.0405 0.1860 0.0535  1 O 2.33
Tl: 0.1628 0.5744 0.2402  1 O 2.29
Tl: 0.1860 0.0405 0.5535  1 O 2.33
Tl: 0.2792 0.4328 0.7340  2 O 2.49-2.53
Tl: 0.4256 0.8372 0.2598  1 O 2.29
Tl: 0.4328 0.2792 0.2340  2 O 2.49-2.53
Tl: 0.5672 0.7208 0.7660  2 O 2.49-2.53
Tl: 0.5744 0.1628 0.7402  1 O 2.29
Tl: 0.7208 0.5672 0.2660  2 O 2.49-2.53
Tl: 0.8140 0.9595 0.4465  1 O 2.33
Tl: 0.8372 0.4256 0.7598  1 O 2.29
Tl: 0.9595 0.8140 0.9465  1 O 2.33
Cl: 0.2007 0.7993 0.7500  4 Tl 3.01-3.35
Cl: 0.7993 0.2007 0.2500  4 Tl 3.01-3.35
O: 0.2046 0.3603 0.3141  4 Tl 2.29-2.53
O: 0.3603 0.2046 0.8141  4 Tl 2.29-2.53
O: 0.6397 0.7954 0.1859  4 Tl 2.29-2.53
O: 0.7954 0.6397 0.6859  4 Tl 2.29-2.53
F: 0.4259 0.5741 0.2500  4 Tl 2.57-2.87
F: 0.5741 0.4259 0.7500  4 Tl 2.57-2.87

Properties
As for the uncorrected formation energy: -811 kJ/mol of formula units. For the electronic total energy, the calculation gives -3.62 eV per atom.


[7]
Entry from Alexandria: Tl4ClOF after structural relaxation (GGA-PBE).

Lattice parameters (Å, degrees): 6.7194 7.2627 8.6761 90.00 102.60 90.00
Closest atoms and distances in Å follow each position.
Positions (direct):
Tl: 0.0438 0.2500 0.4487  1 O 2.34, 1 F 2.53
Tl: 0.1460 0.2500 0.8965  1 O 2.43, 1 F 2.70
Tl: 0.4430 0.5092 0.2721  1 O 2.39
Tl: 0.4430 0.9908 0.2721  1 O 2.39
Tl: 0.5570 0.0092 0.7279  1 O 2.39
Tl: 0.5570 0.4908 0.7279  1 O 2.39
Tl: 0.8540 0.7500 0.1035  1 O 2.43, 1 F 2.70
Tl: 0.9562 0.7500 0.5513  1 O 2.34, 1 F 2.53
Cl: 0.3296 0.7500 0.9699  5 Tl 3.10-3.46
Cl: 0.6704 0.2500 0.0301  5 Tl 3.10-3.46
O: 0.3103 0.2500 0.6726  4 Tl 2.34-2.43
O: 0.6897 0.7500 0.3274  4 Tl 2.34-2.43
F: 0.1775 0.7500 0.3499  4 Tl 2.53-2.70
F: 0.8225 0.2500 0.6501  4 Tl 2.53-2.70

Properties
The calculation puts the density of states at the Fermi level at 0.00 states/eV/atom. As for the uncorrected formation energy: -679 kJ/mol of formula units. For the electronic total energy, the calculation gives -3.60 eV per atom.


[8]
Entry from Alexandria: UCl2O2F2 after structural relaxation (GGA-PBE).

Lattice parameters (Å, degrees): 3.9650 3.9650 8.3526 92.39 92.39 76.87
Closest atoms and distances in Å follow each position.
Positions (direct):
U: 0.0000 0.0000 0.0000  2 O 1.89, 2 F 2.04
Cl: 0.3887 0.3887 0.5802  1 Cl 1.98
Cl: 0.6113 0.6113 0.4198  1 Cl 1.98
O: 0.2996 0.2996 0.0529  1 U 1.89
O: 0.7004 0.7004 0.9471  1 U 1.89
F: 0.0579 0.0579 0.7618  1 U 2.04
F: 0.9421 0.9421 0.2382  1 U 2.04

Properties
The calculation puts the density of states at the Fermi level at 0.50 states/eV/atom. As for the uncorrected formation energy: -1431 kJ/mol of formula units. For the electronic total energy, the calculation gives -6.21 eV per atom.


[9]
Entry from Alexandria: OsCl3F after structural relaxation (GGA-PBE).

Lattice parameters (Å, degrees): 7.5096 8.4578 10.7343 90.00 101.29 90.00
Closest atoms and distances in Å follow each position.
Positions (direct):
Os: 0.0911 0.1373 0.1174  2 F 2.10-2.11, 3 Cl 2.22-2.32
Os: 0.0911 0.8627 0.6174  2 F 2.10-2.11, 3 Cl 2.22-2.32
Os: 0.9089 0.1373 0.3826  2 F 2.10-2.11, 3 Cl 2.22-2.32
Os: 0.9089 0.8627 0.8826  2 F 2.10-2.11, 3 Cl 2.22-2.32
Cl: 0.0395 0.1468 0.5973  2 Os 2.32-2.44
Cl: 0.0395 0.8532 0.0973  2 Os 2.32-2.44
Cl: 0.1131 0.4026 0.1303  1 Os 2.25
Cl: 0.1131 0.5974 0.6303  1 Os 2.25
Cl: 0.3732 0.1046 0.0874  1 Os 2.22
Cl: 0.3732 0.8954 0.5874  1 Os 2.22
Cl: 0.6268 0.1046 0.4126  1 Os 2.22
Cl: 0.6268 0.8954 0.9126  1 Os 2.22
Cl: 0.8869 0.4026 0.3697  1 Os 2.25
Cl: 0.8869 0.5974 0.8697  1 Os 2.25
Cl: 0.9605 0.1468 0.9027  2 Os 2.32-2.44
Cl: 0.9605 0.8532 0.4027  2 Os 2.32-2.44
F: 0.1557 0.1358 0.3180  2 Os 2.10-2.11
F: 0.1557 0.8642 0.8180  2 Os 2.10-2.11
F: 0.8443 0.1358 0.1820  2 Os 2.10-2.11
F: 0.8443 0.8642 0.6820  2 Os 2.10-2.11

Properties
The calculation puts the density of states at the Fermi level at 0.59 states/eV/atom. As for the uncorrected formation energy: -297 kJ/mol of formula units. For the electronic total energy, the calculation gives -4.34 eV per atom. The distance to the lowest polymorph of the same formula is 95 meV per atom.


[10]
Entry from Alexandria: OsCl6F2 after structural relaxation (GGA-PBE).

Lattice parameters (Å, degrees): 6.1350 11.8394 7.1191 90.00 107.02 90.00
Closest atoms and distances in Å follow each position.
Positions (direct):
Os: 0.0000 0.0000 0.0000  2 F 1.95
Os: 0.0000 0.5000 0.5000  2 F 1.95
Cl: 0.1993 0.1052 0.5047  1 Cl 2.08
Cl: 0.1993 0.3948 0.0047  1 Cl 2.08
Cl: 0.2637 0.6232 0.4396  1 Os 2.31
Cl: 0.2637 0.8768 0.9396  1 Os 2.31
Cl: 0.2882 0.0831 0.2460  1 Cl 2.08, 1 Os 2.31
Cl: 0.2882 0.4169 0.7460  1 Cl 2.08, 1 Os 2.31
Cl: 0.7118 0.5831 0.2540  1 Cl 2.08, 1 Os 2.31
Cl: 0.7118 0.9169 0.7540  1 Cl 2.08, 1 Os 2.31
Cl: 0.7363 0.1232 0.0604  1 Os 2.31
Cl: 0.7363 0.3768 0.5604  1 Os 2.31
Cl: 0.8007 0.6052 0.9953  1 Cl 2.08
Cl: 0.8007 0.8948 0.4953  1 Cl 2.08
F: 0.0509 0.1090 0.8121  1 Os 1.95
F: 0.0509 0.3910 0.3121  1 Os 1.95
F: 0.9491 0.6090 0.6879  1 Os 1.95
F: 0.9491 0.8910 0.1879  1 Os 1.95

Properties
As for the uncorrected formation energy: -433 kJ/mol of formula units. For the electronic total energy, the calculation gives -3.39 eV per atom.


[11]
Entry from Alexandria: OsCl3F after structural relaxation (GGA-PBE).

Lattice parameters (Å, degrees): 8.0151 3.6041 8.7525 90.00 90.00 90.00
Closest atoms and distances in Å follow each position.
Positions (direct):
Os: 0.2500 0.0000 0.2238  1 F 1.93
Os: 0.7500 0.0000 0.7762  1 F 1.93
Cl: 0.0552 0.5000 0.2148  2 Os 2.39
Cl: 0.2500 0.0000 0.4808  1 Os 2.25
Cl: 0.4448 0.5000 0.2148  2 Os 2.39
Cl: 0.5552 0.5000 0.7852  2 Os 2.39
Cl: 0.7500 0.0000 0.5192  1 Os 2.25
Cl: 0.9448 0.5000 0.7852  2 Os 2.39
F: 0.2500 0.0000 0.0037  1 Os 1.93
F: 0.7500 0.0000 0.9963  1 Os 1.93

Properties
As for the uncorrected formation energy: -343 kJ/mol of formula units. For the electronic total energy, the calculation gives -4.44 eV per atom. The distance to the lowest polymorph of the same formula is 0 meV per atom.


[12]
Entry from Alexandria: OsCl3F after structural relaxation (GGA-PBE).

Lattice parameters (Å, degrees): 4.6919 4.6919 4.6919 90.00 90.00 90.00
Closest atoms and distances in Å follow each position.
Positions (direct):
Os: 0.0000 0.0000 0.0000  6 Cl 2.35
Cl: 0.0000 0.0000 0.5000  2 Os 2.35
Cl: 0.0000 0.5000 0.0000  2 Os 2.35
Cl: 0.5000 0.0000 0.0000  2 Os 2.35
F: 0.5000 0.5000 0.5000  12 Cl 3.32

Properties
The calculation puts the density of states at the Fermi level at 1.34 states/eV/atom. As for the uncorrected formation energy: 45 kJ/mol of formula units. For the electronic total energy, the calculation gives -3.63 eV per atom. The distance to the lowest polymorph of the same formula is 804 meV per atom.


The highest electronic total energy belongs to which entry? number 3